This record from Alexandria describes BiBSbTe2 after structural relaxation. The functional is PBEsol. Values from VASP.

```
&SYSTEM
  ibrav = 0, nat = 5, ntyp = 4
/
ATOMIC_SPECIES
Te 127.60 Te.upf
Bi 208.98 Bi.upf
Sb 121.76 Sb.upf
B 10.81 B.upf
CELL_PARAMETERS angstrom
5.039 0.000 0.000
0.000 5.039 0.000
0.000 0.000 4.652
ATOMIC_POSITIONS crystal
Te 0.500 0.000 0.000
Te 0.000 0.500 0.000
Bi 0.500 0.500 0.500
Sb 0.000 0.000 0.500
B 0.000 0.000 0.000
```

Summary:
The value obtained for the total energy is -20.2 eV per cell. For the density of states at the Fermi level, the calculation gives 3.8 states/eV/cell. The size of the total moment comes out at 0.0 μB/f.u. As for the energy relative to the elements, uncorrected: 542 meV/atom. Its space group is No. 123.

***

This record from Alexandria describes Ti2SiBiB after structural relaxation. The functional is PBEsol. Values from VASP.

```
&SYSTEM
  ibrav = 0, nat = 5, ntyp = 4
/
ATOMIC_SPECIES
Bi 208.98 Bi.upf
Ti 47.87 Ti.upf
Si 28.09 Si.upf
B 10.81 B.upf
CELL_PARAMETERS angstrom
3.721 0.000 0.000
0.000 4.839 0.000
0.000 0.000 4.839
ATOMIC_POSITIONS crystal
Bi 0.500 0.500 0.500
Ti 0.000 0.000 0.500
Ti 0.000 0.500 0.000
Si 0.000 0.000 0.000
B 0.500 0.000 0.000
```

Summary:
The value obtained for the total energy is -31.6 eV per cell. For the density of states at the Fermi level, the calculation gives 5.0 states/eV/cell. The size of the total moment comes out at 0.0 μB/f.u. As for the energy relative to the elements, uncorrected: 421 meV/atom. Its space group is No. 123.

***

This record from Alexandria describes Sn3BiB after structural relaxation. The functional is PBEsol. Values from VASP.

```
&SYSTEM
  ibrav = 0, nat = 5, ntyp = 3
/
ATOMIC_SPECIES
B 10.81 B.upf
Sn 118.71 Sn.upf
Bi 208.98 Bi.upf
CELL_PARAMETERS angstrom
4.899 0.000 0.000
0.000 4.899 0.000
0.000 0.000 4.899
ATOMIC_POSITIONS crystal
B 0.000 0.000 0.000
Sn 0.000 0.500 0.000
Sn 0.500 0.000 0.000
Sn 0.000 0.000 0.500
Bi 0.500 0.500 0.500
```

Summary:
The value obtained for the total energy is -22.0 eV per cell. For the density of states at the Fermi level, the calculation gives 1.5 states/eV/cell. The size of the total moment comes out at 0.0 μB/f.u. Its space group is No. 221.

***

This record from Alexandria describes TaBi2B after structural relaxation. The functional is PBEsol. Values from VASP.

```
&SYSTEM
  ibrav = 0, nat = 8, ntyp = 3
/
ATOMIC_SPECIES
B 10.81 B.upf
Bi 208.98 Bi.upf
Ta 180.95 Ta.upf
CELL_PARAMETERS angstrom
-2.851 -6.801 1.162
5.776 1.746 0.410
4.726 -1.008 5.691
ATOMIC_POSITIONS crystal
B 0.500 0.000 0.500
B 0.250 0.500 0.250
Bi 0.185 0.750 0.875
Bi 0.875 0.250 0.565
Bi 0.565 0.750 0.375
Bi 0.375 0.250 0.185
Ta 0.000 0.000 0.000
Ta 0.750 0.500 0.750
```

Summary:
The value obtained for the total energy is -46.2 eV per cell. For the density of states at the Fermi level, the calculation gives 8.3 states/eV/cell. The size of the total moment comes out at 0.0 μB/f.u. Its space group is No. 122.

***

This record from Alexandria describes Y3BiB after structural relaxation. The functional is PBEsol. Values from VASP.

```
&SYSTEM
  ibrav = 0, nat = 5, ntyp = 3
/
ATOMIC_SPECIES
B 10.81 B.upf
Y 88.91 Y.upf
Bi 208.98 Bi.upf
CELL_PARAMETERS angstrom
-1.071 2.128 -4.374
-4.235 -2.612 -0.234
-2.394 3.668 2.371
ATOMIC_POSITIONS crystal
B 0.000 0.000 0.000
Y 0.000 0.500 0.000
Y 0.500 0.000 0.000
Y 0.000 0.000 0.500
Bi 0.500 0.500 0.500
```

Summary:
The value obtained for the total energy is -34.4 eV per cell. For the density of states at the Fermi level, the calculation gives 2.6 states/eV/cell. The size of the total moment comes out at 0.0 μB/f.u. Its space group is No. 221.

***

This record from Alexandria describes BBr3 after structural relaxation. The functional is PBEsol. Values from VASP.

```
&SYSTEM
  ibrav = 0, nat = 8, ntyp = 2
/
ATOMIC_SPECIES
B 10.81 B.upf
Br 79.90 Br.upf
CELL_PARAMETERS angstrom
-0.931 6.148 1.950
1.040 -4.692 4.401
6.891 1.166 -0.386
ATOMIC_POSITIONS crystal
B 0.667 0.333 0.750
B 0.333 0.667 0.250
Br 0.690 0.636 0.750
Br 0.054 0.690 0.250
Br 0.946 0.310 0.750
Br 0.364 0.054 0.750
Br 0.636 0.946 0.250
Br 0.310 0.364 0.250
```

Summary:
The value obtained for the total energy is -28.8 eV per cell. For the density of states at the Fermi level, the calculation gives 0.0 states/eV/cell. The size of the total moment comes out at 0.0 μB/f.u. As for the energy relative to the elements, uncorrected: -447 meV/atom. Its space group is No. 176.

***

This record from Alexandria describes BC3Br after structural relaxation. The functional is PBEsol. Values from VASP.

```
&SYSTEM
  ibrav = 0, nat = 5, ntyp = 3
/
ATOMIC_SPECIES
C 12.01 C.upf
Br 79.90 Br.upf
B 10.81 B.upf
CELL_PARAMETERS angstrom
3.885 0.000 0.000
0.000 3.885 0.000
0.000 0.000 3.885
ATOMIC_POSITIONS crystal
C 0.000 0.000 0.500
C 0.500 0.000 0.000
C 0.000 0.500 0.000
Br 0.000 0.000 0.000
B 0.500 0.500 0.500
```

Summary:
The value obtained for the total energy is -16.3 eV per cell. For the density of states at the Fermi level, the calculation gives 3.0 states/eV/cell. The size of the total moment comes out at 0.0 μB/f.u. As for the energy relative to the elements, uncorrected: 4300 meV/atom. Its space group is No. 221.

***

This record from Alexandria describes Ca3BCBr2N after structural relaxation. The functional is PBEsol. Values from VASP.

```
&SYSTEM
  ibrav = 0, nat = 32, ntyp = 5
/
ATOMIC_SPECIES
B 10.81 B.upf
C 12.01 C.upf
Ca 40.08 Ca.upf
N 14.01 N.upf
Br 79.90 Br.upf
CELL_PARAMETERS angstrom
3.858 0.000 0.000
0.000 11.283 0.000
0.000 0.000 14.377
ATOMIC_POSITIONS crystal
B 0.750 0.097 0.758
B 0.250 0.597 0.742
B 0.750 0.403 0.258
B 0.250 0.903 0.242
C 0.250 0.717 0.705
C 0.750 0.217 0.795
C 0.750 0.283 0.295
C 0.250 0.783 0.205
Ca 0.750 0.645 0.604
Ca 0.250 0.355 0.396
Ca 0.750 0.430 0.857
Ca 0.250 0.296 0.693
Ca 0.750 0.070 0.357
Ca 0.250 0.570 0.143
Ca 0.250 0.204 0.193
Ca 0.750 0.704 0.307
Ca 0.750 0.855 0.104
Ca 0.250 0.930 0.643
Ca 0.750 0.796 0.807
Ca 0.250 0.145 0.896
N 0.750 0.518 0.229
N 0.250 0.482 0.771
N 0.750 0.982 0.729
N 0.250 0.018 0.271
Br 0.750 0.395 0.559
Br 0.750 0.105 0.059
Br 0.750 0.638 0.988
Br 0.250 0.362 0.012
Br 0.250 0.895 0.941
Br 0.250 0.138 0.512
Br 0.750 0.862 0.488
Br 0.250 0.605 0.441
```

Summary:
The value obtained for the total energy is -180.8 eV per cell. For the density of states at the Fermi level, the calculation gives 0.0 states/eV/cell. The size of the total moment comes out at 0.0 μB/f.u. As for the energy relative to the elements, uncorrected: -1233 meV/atom. Its space group is No. 62.

***

This record from Alexandria describes La3BC2Br2 after structural relaxation. The functional is PBEsol. Values from VASP.

```
&SYSTEM
  ibrav = 0, nat = 32, ntyp = 4
/
ATOMIC_SPECIES
La 138.91 La.upf
C 12.01 C.upf
Br 79.90 Br.upf
B 10.81 B.upf
CELL_PARAMETERS angstrom
-2.277 -0.711 -3.108
0.540 -11.142 2.153
-12.409 1.107 8.839
ATOMIC_POSITIONS crystal
La 0.750 0.950 0.660
La 0.250 0.701 0.332
La 0.750 0.124 0.866
La 0.750 0.550 0.160
La 0.750 0.201 0.168
La 0.250 0.050 0.340
La 0.250 0.876 0.134
La 0.250 0.624 0.634
La 0.750 0.376 0.366
La 0.250 0.799 0.832
La 0.250 0.450 0.840
La 0.750 0.299 0.668
C 0.750 0.750 0.223
C 0.750 0.001 0.230
C 0.250 0.250 0.777
C 0.250 0.501 0.270
C 0.750 0.750 0.723
C 0.750 0.499 0.730
C 0.250 0.999 0.770
C 0.250 0.250 0.277
Br 0.750 0.364 0.987
Br 0.250 0.864 0.513
Br 0.750 0.614 0.471
Br 0.250 0.114 0.029
Br 0.750 0.136 0.487
Br 0.250 0.386 0.529
Br 0.750 0.886 0.971
Br 0.250 0.636 0.013
B 0.750 0.875 0.254
B 0.250 0.375 0.246
B 0.750 0.625 0.754
B 0.250 0.125 0.746
```

Summary:
The value obtained for the total energy is -217.0 eV per cell. For the density of states at the Fermi level, the calculation gives 7.3 states/eV/cell. The size of the total moment comes out at 0.0 μB/f.u. As for the energy relative to the elements, uncorrected: -1020 meV/atom. Its space group is No. 62.